FeC2S2: optimized geometry, PBE.

Geometry as CIF:
```
data_FeC2S2
_chemical_formula_sum 'Fe2 C4 S4'
_symmetry_space_group_name_H-M 'P 4/m b m'
_symmetry_Int_Tables_number 127
_symmetry_space_group_name_Hall '-P 4 2ab'
_cell_length_a 6.766
_cell_length_b 6.766
_cell_length_c 2.740
_cell_angle_alpha 90.00
_cell_angle_beta 90.00
_cell_angle_gamma 90.00
loop_
_atom_site_label
_atom_site_type_symbol
_atom_site_fract_x
_atom_site_fract_y
_atom_site_fract_z
Fe1 Fe 0.000 0.000 0.000
C1 C 0.232 0.268 0.500
S1 S 0.157 0.657 0.000
```

## Properties
* total moment: 5.834 μB/cell
* excess energy over the best structure of this formula in the dataset: 0.000 eV per formula unit

***

Mg2InIr: optimized geometry, PBE.

Geometry as CIF:
```
data_Mg2InIr
_chemical_formula_sum 'Mg4 In2 Ir2'
_symmetry_space_group_name_H-M 'I 4/m m m'
_symmetry_Int_Tables_number 139
_symmetry_space_group_name_Hall '-I 4 2'
_cell_length_a 4.111
_cell_length_b 4.111
_cell_length_c 8.497
_cell_angle_alpha 90.00
_cell_angle_beta 90.00
_cell_angle_gamma 90.00
loop_
_atom_site_label
_atom_site_type_symbol
_atom_site_fract_x
_atom_site_fract_y
_atom_site_fract_z
Mg1 Mg 0.000 0.500 0.250
In1 In 0.000 0.000 0.000
Ir1 Ir 0.000 0.000 0.500
```

## Properties
* total moment: 0.000 μB/cell
* energy of formation from the pure elements: -0.22 eV per atom

***

SrYNi2Pb: optimized geometry, PBE.

Geometry as CIF:
```
data_SrYNi2Pb
_chemical_formula_sum 'Sr1 Y1 Ni2 Pb1'
_symmetry_space_group_name_H-M 'P 4/m m m'
_symmetry_Int_Tables_number 123
_symmetry_space_group_name_Hall '-P 4 2'
_cell_length_a 4.963
_cell_length_b 4.963
_cell_length_c 5.787
_cell_angle_alpha 90.00
_cell_angle_beta 90.00
_cell_angle_gamma 90.00
loop_
_atom_site_label
_atom_site_type_symbol
_atom_site_fract_x
_atom_site_fract_y
_atom_site_fract_z
Sr1 Sr 0.000 0.000 0.000
Y1 Y 0.500 0.500 0.000
Ni1 Ni 0.000 0.500 0.500
Pb1 Pb 0.000 0.000 0.500
```

## Properties
* total moment: 0.000 μB/cell
* energy of formation from the pure elements: 0.78 eV per atom